Entry from the Alexandria database: RbV2CuO6 after structural relaxation (PBE with a Hubbard U).

a = 6.0422 Å, b = 7.9766 Å, c = 7.9766 Å
α = 95.87°, β = 75.58°, γ = 75.58°
Last column: magnetic moment on the atom in μB.
Positions (direct):
O 0.2492 0.2566 0.0286  -0.01
O 0.4013 0.3580 0.3207  0.00
O 0.9013 0.3207 0.3580  0.00
O 0.7492 0.0286 0.2566  -0.01
O 0.5987 0.6420 0.6793  0.00
O 0.7508 0.7434 0.9714  -0.01
O 0.0486 0.6016 0.2093  -0.01
O 0.2508 0.9714 0.7434  -0.01
O 0.4514 0.7907 0.3984  -0.01
O 0.5486 0.2093 0.6016  -0.01
O 0.9514 0.3984 0.7907  -0.01
O 0.0987 0.6793 0.6420  0.00
V 0.8534 0.6115 0.7697  0.01
V 0.1466 0.3885 0.2303  0.01
V 0.3534 0.7697 0.6115  0.01
V 0.6466 0.2303 0.3885  0.01
Rb 0.7500 0.1154 0.8846  0.00
Rb 0.2500 0.8846 0.1154  0.00
Cu 0.7500 0.7732 0.2268  -0.08
Cu 0.2500 0.2268 0.7732  -0.08

**Total magnetization**: 0.086 μB/f.u.
**Energy**: -0.2451 hartree per atom
**Mass density**: 3.24 g/cm³